DFT (PBE-GGA) results for an optimized crystal structure of Ag2OF3.

a b c (Å): 4.4303 8.0231 9.1300
angles (deg): 130.61 105.06 88.79
Last column: nearest neighbours and their distance in Å.
Sites, in units of the cell vectors:
Ag (0.3119, 0.8997, 0.5882)  4 F 2.12-2.24
Ag (0.6881, 0.1003, 0.4118)  4 F 2.12-2.24
Ag (0.3794, 0.4757, 0.7942)  4 F 2.16-2.32
Ag (0.6206, 0.5243, 0.2058)  4 F 2.16-2.32
O (0.0459, 0.0902, 0.0889)  1 O 1.23
O (0.9541, 0.9098, 0.9111)  1 O 1.23
F (0.4587, 0.2194, 0.8886)  2 Ag 2.12-2.16
F (0.7888, 0.8615, 0.5415)  3 Ag 2.23-2.32
F (0.1553, 0.5683, 0.2741)  3 Ag 2.21-2.26
F (0.8447, 0.4317, 0.7259)  3 Ag 2.21-2.26
F (0.2112, 0.1385, 0.4585)  3 Ag 2.23-2.32
F (0.5413, 0.7806, 0.1114)  2 Ag 2.12-2.16

The theoretical density is 4.1 Mg/m³. Its uncorrected formation energy is -880 meV per atom. The calculation puts the uncorrected energy at -3.59 eV/atom.

DFT (PBE-GGA) results for an optimized crystal structure of Ho2TaRu3.

a b c (Å): 4.6601 7.3591 6.6986
angles (deg): 90.00 90.00 71.54
Last column: nearest neighbours and their distance in Å.
Sites, in units of the cell vectors:
Ho (0.0000, 0.0000, 0.0000)  8 Ru 2.80-2.85
Ho (0.0000, 0.0000, 0.5000)  8 Ru 2.94-3.03, 4 Ho 3.29
Ho (0.3341, 0.3318, 0.5000)  8 Ru 2.90-2.96
Ho (0.6659, 0.6682, 0.5000)  8 Ru 2.90-2.96
Ta (0.3320, 0.3361, 0.0000)  8 Ru 2.69-2.82
Ta (0.6680, 0.6639, 0.0000)  8 Ru 2.69-2.82
Ru (0.8270, 0.3460, 0.7732)  3 Ta 2.69-2.78, 4 Ho 2.85-2.96
Ru (0.5000, 0.0000, 0.2327)  6 Ho 2.80-2.94, 2 Ta 2.82, 1 Ru 3.12
Ru (0.1730, 0.6540, 0.2268)  3 Ta 2.69-2.78, 4 Ho 2.85-2.96
Ru (0.8270, 0.3460, 0.2268)  3 Ta 2.69-2.78, 4 Ho 2.85-2.96
Ru (0.1730, 0.6540, 0.7732)  3 Ta 2.69-2.78, 4 Ho 2.85-2.96
Ru (0.5000, 0.0000, 0.7673)  6 Ho 2.80-2.94, 2 Ta 2.82, 1 Ru 3.12

The value obtained for the formation energy is -444 meV/atom. The theoretical density is 12.4 Mg/m³. The calculation puts the uncorrected energy at -8.58 eV/atom.

DFT (PBE-GGA) results for an optimized crystal structure of Zr2RuCl.

a b c (Å): 3.1349 3.1349 9.7409
angles (deg): 90.00 90.00 114.67
Last column: nearest neighbours and their distance in Å.
Sites, in units of the cell vectors:
Cl (0.0000, 0.0000, 0.4611)  2 Zr 2.60
Ru (0.5000, 0.5000, 0.7949)  2 Zr 2.51
Zr (0.0000, 0.0000, 0.9851)  2 Ru 2.51
Zr (0.5000, 0.5000, 0.2589)  2 Cl 2.60

The value obtained for the energy relative to the lowest polymorph listed for this composition is 45.8 kJ per mole of atoms. The theoretical density is 6.1 Mg/m³. Its uncorrected formation energy is -222 meV per atom. The calculation puts the uncorrected energy at -7.28 eV/atom.

DFT (PBE-GGA) results for an optimized crystal structure of BeSi2Mo2.

a b c (Å): 6.2743 6.2743 3.4021
angles (deg): 90.00 90.00 90.00
Last column: nearest neighbours and their distance in Å.
Sites, in units of the cell vectors:
Be (0.0000, 0.0000, 0.0000)  4 Si 2.45
Be (0.5000, 0.5000, 0.0000)  4 Si 2.45
Mo (0.1694, 0.6694, 0.5000)  6 Si 2.44-2.56
Mo (0.6694, 0.8306, 0.5000)  6 Si 2.44-2.56
Mo (0.8306, 0.3306, 0.5000)  6 Si 2.44-2.56
Mo (0.3306, 0.1694, 0.5000)  6 Si 2.44-2.56
Si (0.3662, 0.8662, 0.0000)  1 Si 2.37, 6 Mo 2.44-2.56, 2 Be 2.45
Si (0.8662, 0.6338, 0.0000)  1 Si 2.37, 6 Mo 2.44-2.56, 2 Be 2.45
Si (0.6338, 0.1338, 0.0000)  1 Si 2.37, 6 Mo 2.44-2.56, 2 Be 2.45
Si (0.1338, 0.3662, 0.0000)  1 Si 2.37, 6 Mo 2.44-2.56, 2 Be 2.45

The value obtained for the energy relative to the lowest polymorph listed for this composition is 0.0 kJ per mole of atoms. The theoretical density is 6.4 Mg/m³. Its uncorrected formation energy is -244 meV per atom. The calculation puts the uncorrected energy at -7.49 eV/atom.

DFT (PBE-GGA) results for an optimized crystal structure of YTa2Tc.

a b c (Å): 7.6875 7.6875 6.1697
angles (deg): 51.46 51.46 90.00
Last column: nearest neighbours and their distance in Å.
Sites, in units of the cell vectors:
Y (0.5000, 0.5000, 0.0000)  2 Tc 2.92, 8 Ta 3.13-3.27
Y (0.2500, 0.7500, 0.5000)  2 Tc 2.92, 8 Ta 3.13-3.27
Tc (0.0000, 0.0000, 0.0000)  4 Ta 2.53
Tc (0.7500, 0.2500, 0.5000)  4 Ta 2.53
Ta (0.6828, 0.1250, 0.2500)  2 Tc 2.53
Ta (0.0672, 0.6250, 0.2500)  2 Tc 2.53
Ta (0.3750, 0.3172, 0.7500)  2 Tc 2.53
Ta (0.8750, 0.9328, 0.7500)  2 Tc 2.53

The value obtained for the formation energy is 503 meV/atom. The value obtained for the energy relative to the lowest polymorph listed for this composition is 44.4 kJ per mole of atoms. The theoretical density is 10.6 Mg/m³. The calculation puts the uncorrected energy at -9.63 eV/atom.

DFT (PBE-GGA) results for an optimized crystal structure of BaScTe2.

a b c (Å): 4.3569 4.3572 8.2102
angles (deg): 105.42 105.39 90.00
Last column: nearest neighbours and their distance in Å.
Sites, in units of the cell vectors:
Ba (0.2214, 0.8815, 0.2282)  8 Te 3.66
Sc (0.4713, 0.6306, 0.7282)  4 Te 2.84
Te (0.8510, 0.5114, 0.4877)  2 Sc 2.84
Te (0.5916, 0.2511, 0.9686)  2 Sc 2.84

The value obtained for the energy relative to the lowest polymorph listed for this composition is 15.0 kJ per mole of atoms. The theoretical density is 5.0 Mg/m³. Its uncorrected formation energy is -1233 meV per atom. The calculation puts the uncorrected energy at -4.87 eV/atom.

DFT (PBE-GGA) results for an optimized crystal structure of Pm4Er4Sc3.

a b c (Å): 3.4113 5.5498 17.7037
angles (deg): 81.02 84.47 90.00
Last column: nearest neighbours and their distance in Å.
Sites, in units of the cell vectors:
Pm (0.5898, 0.0901, 0.8209)  3 Er 3.12-3.17, 2 Pm 3.41
Pm (0.2698, 0.2696, 0.4607)  4 Er 3.30-3.58, 6 Pm 3.41-3.53
Pm (0.7302, 0.7304, 0.5394)  4 Er 3.30-3.58, 6 Pm 3.41-3.53
Pm (0.4102, 0.9099, 0.1791)  3 Er 3.12-3.17, 2 Pm 3.41
Er (0.5459, 0.5461, 0.9091)  3 Er 3.16-3.41, 2 Pm 3.17, 2 Sc 3.54
Er (0.4542, 0.4540, 0.0908)  3 Er 3.16-3.41, 2 Pm 3.17, 2 Sc 3.54
Er (0.3202, 0.8206, 0.3583)  3 Pm 3.12-3.30, 2 Er 3.41
Er (0.6798, 0.1794, 0.6418)  3 Pm 3.12-3.30, 2 Er 3.41
Sc (0.1348, 0.6350, 0.7311)  2 Sc 3.41, 6 Er 3.54-3.61, 6 Pm 3.61-3.75
Sc (0.8652, 0.3651, 0.2689)  2 Sc 3.41, 6 Er 3.54-3.61, 6 Pm 3.61-3.75
Sc (0.0000, 0.0000, 0.0000)  2 Sc 3.41, 4 Pm 3.55, 8 Er 3.62-3.63

The value obtained for the formation energy is 111 meV/atom. The theoretical density is 7.0 Mg/m³. The calculation puts the uncorrected energy at -5.00 eV/atom.

DFT (PBE-GGA) results for an optimized crystal structure of NaAc4Te6.

a b c (Å): 4.7692 10.1635 10.1635
angles (deg): 120.00 90.00 90.00
Last column: nearest neighbours and their distance in Å.
Sites, in units of the cell vectors:
Na (0.0000, 0.0000, 0.0000)  6 Te 3.77
Ac (0.5000, 0.8003, 0.6006)  6 Te 3.26-3.37
Ac (0.5000, 0.3994, 0.1997)  6 Te 3.26-3.37
Ac (0.5000, 0.8003, 0.1997)  6 Te 3.26-3.37
Ac (0.0000, 0.3333, 0.6667)  9 Te 3.46-3.79
Te (0.0000, 0.5297, 0.0595)  5 Ac 3.37-3.46
Te (0.5000, 0.6680, 0.8340)  2 Ac 3.26
Te (0.0000, 0.5297, 0.4703)  5 Ac 3.37-3.46
Te (0.0000, 0.9405, 0.4703)  5 Ac 3.37-3.46
Te (0.5000, 0.1660, 0.8340)  2 Ac 3.26
Te (0.5000, 0.1660, 0.3320)  2 Ac 3.26

The value obtained for the energy relative to the lowest polymorph listed for this composition is 16.4 kJ per mole of atoms. The theoretical density is 6.6 Mg/m³. Its uncorrected formation energy is -1286 meV per atom. The calculation puts the uncorrected energy at -4.61 eV/atom.

DFT (PBE-GGA) results for an optimized crystal structure of Na2NpGaO6.

a b c (Å): 4.1291 5.6444 5.6444
angles (deg): 90.00 90.00 90.00
Last column: nearest neighbours and their distance in Å.
Sites, in units of the cell vectors:
Na (0.1431, 0.5000, 0.0000)  12 O 2.82-2.88
Na (0.1431, 0.0000, 0.5000)  12 O 2.82-2.88
Np (0.6449, 0.5000, 0.5000)  6 O 1.98-2.06
Ga (0.6443, 0.0000, 0.0000)  6 O 2.01-2.07
O (0.6453, 0.2523, 0.2523)  1 Np 1.98, 1 Ga 2.01
O (0.6453, 0.2523, 0.7477)  1 Np 1.98, 1 Ga 2.01
O (0.1450, 0.5000, 0.5000)  2 Np 2.06
O (0.1451, 0.0000, 0.0000)  2 Ga 2.06-2.07
O (0.6453, 0.7477, 0.7477)  1 Np 1.98, 1 Ga 2.01
O (0.6453, 0.7477, 0.2523)  1 Np 1.98, 1 Ga 2.01

The theoretical density is 5.7 Mg/m³. Its uncorrected formation energy is -2043 meV per atom. The calculation puts the uncorrected energy at -6.88 eV/atom.

DFT (PBE-GGA) results for an optimized crystal structure of Ac2NdS3.

a b c (Å): 7.3453 7.3453 13.2792
angles (deg): 100.71 100.71 109.14
Last column: nearest neighbours and their distance in Å.
Sites, in units of the cell vectors:
Ac (0.9992, 0.4992, 0.9984)  6 S 2.99-3.04
Ac (0.4175, 0.4175, 0.8351)  6 S 3.00-3.06
Ac (0.8325, 0.3325, 0.6649)  6 S 3.00-3.06
Ac (0.2508, 0.2508, 0.5016)  6 S 2.99-3.04
Ac (0.7492, 0.7492, 0.4984)  6 S 2.99-3.04
Ac (0.6675, 0.1675, 0.3351)  6 S 3.00-3.06
Ac (0.5825, 0.5825, 0.1649)  6 S 3.00-3.06
Ac (0.5008, 0.0008, 0.0016)  6 S 2.99-3.04
Nd (0.9166, 0.9166, 0.8332)  6 S 2.92-2.93
Nd (0.3334, 0.8334, 0.6668)  6 S 2.92-2.93
Nd (0.1666, 0.6666, 0.3332)  6 S 2.92-2.93
Nd (0.0834, 0.0834, 0.1668)  6 S 2.92-2.93
S (0.1652, 0.6755, 0.8296)  2 Nd 2.92-2.93, 4 Ac 3.00-3.06
S (0.6644, 0.1540, 0.8296)  2 Nd 2.92-2.93, 4 Ac 3.00-3.06
S (0.0848, 0.0745, 0.6704)  2 Nd 2.92-2.93, 4 Ac 3.00-3.06
S (0.5856, 0.5960, 0.6704)  2 Nd 2.92-2.93, 4 Ac 3.00-3.06
S (0.0119, 0.5119, 0.5000)  2 Nd 2.92, 4 Ac 2.99-3.05
S (0.4881, 0.9881, 0.5000)  2 Nd 2.92, 4 Ac 2.99-3.05
S (0.4040, 0.4144, 0.3296)  2 Nd 2.92-2.93, 4 Ac 3.00-3.06
S (0.9255, 0.9152, 0.3296)  2 Nd 2.92-2.93, 4 Ac 3.00-3.06
S (0.8460, 0.3356, 0.1704)  2 Nd 2.92-2.93, 4 Ac 3.00-3.06
S (0.3245, 0.8348, 0.1704)  2 Nd 2.92-2.93, 4 Ac 3.00-3.06
S (0.2381, 0.2381, 0.0000)  2 Nd 2.92, 4 Ac 2.99-3.05
S (0.7619, 0.7619, 0.0000)  2 Nd 2.92, 4 Ac 2.99-3.05

The theoretical density is 7.2 Mg/m³. Its uncorrected formation energy is -2007 meV per atom. The calculation puts the uncorrected energy at -6.24 eV/atom.

DFT (PBE-GGA) results for an optimized crystal structure of BeRh4.

a b c (Å): 4.6017 4.6017 4.6017
angles (deg): 99.64 99.64 131.68
Last column: nearest neighbours and their distance in Å.
Sites, in units of the cell vectors:
Be (0.0000, 0.0000, 0.0000)  12 Rh 2.63-2.66
Rh (0.2028, 0.6053, 0.8081)  9 Rh 2.61-2.71, 3 Be 2.63-2.66
Rh (0.6053, 0.7972, 0.4025)  9 Rh 2.61-2.71, 3 Be 2.63-2.66
Rh (0.7972, 0.3947, 0.1919)  9 Rh 2.61-2.71, 3 Be 2.63-2.66
Rh (0.3947, 0.2028, 0.5975)  9 Rh 2.61-2.71, 3 Be 2.63-2.66

The value obtained for the formation energy is -104 meV/atom. The value obtained for the energy relative to the lowest polymorph listed for this composition is 0.0 kJ per mole of atoms. The theoretical density is 10.5 Mg/m³. The calculation puts the uncorrected energy at -6.73 eV/atom.

DFT (PBE-GGA) results for an optimized crystal structure of SrMn2Sb.

a b c (Å): 4.2906 4.2906 6.5252
angles (deg): 70.81 70.81 59.99
Last column: nearest neighbours and their distance in Å.
Sites, in units of the cell vectors:
Mn (0.0534, 0.0534, 0.8397)  3 Mn 2.48
Mn (0.7286, 0.7286, 0.8144)  3 Mn 2.48, 3 Sb 2.74
Sb (0.4601, 0.4601, 0.6197)  6 Mn 2.74-2.81
Sr (0.2580, 0.2580, 0.2262)  7 Mn 3.40-3.70, 4 Sb 3.43-3.66

The theoretical density is 5.5 Mg/m³. Its uncorrected formation energy is -117 meV per atom. The calculation puts the uncorrected energy at -6.15 eV/atom.